(1)
VASP calculation (PBE-GGA) on PrFe2Br8 after structural relaxation.

- Formation energy without anion corrections: -0.95 eV per atom
- Density of states at the Fermi level: 4.80 states/eV/f.u.
- E_tot: -45.54 eV/cell

a b c (Å): 8.280 8.280 6.702
angles (deg): 94.29 94.29 77.17
Positions (direct):
Pr  0.000  0.000  0.000
Fe  0.198  0.198  0.650
Fe  0.802  0.802  0.350
Br  0.085  0.709  0.241
Br  0.190  0.190  0.286
Br  0.291  0.915  0.759
Br  0.367  0.367  0.785
Br  0.633  0.633  0.215
Br  0.709  0.085  0.241
Br  0.810  0.810  0.714
Br  0.915  0.291  0.759

***

(2)
VASP calculation (PBE-GGA) on FePt4Br after structural relaxation.

- Formation energy without anion corrections: 0.50 eV per atom
- Density of states at the Fermi level: 6.39 states/eV/f.u.
- E_tot: -31.30 eV/cell

a b c (Å): 5.338 5.338 5.338
angles (deg): 60.00 60.00 60.00
Positions (direct):
Fe  0.000  0.000  0.000
Pt  0.374  0.374  0.374
Pt  0.374  0.374  0.877
Pt  0.374  0.877  0.374
Pt  0.877  0.374  0.374
Br  0.750  0.750  0.750

***

(3)
VASP calculation (PBE-GGA) on FePtBr2 after structural relaxation.

- Formation energy without anion corrections: 0.54 eV per atom
- Excess energy over the best structure of this formula in the dataset: 2.34 eV/f.u.
- Density of states at the Fermi level: 5.37 states/eV/f.u.
- E_tot: -15.68 eV/cell

a b c (Å): 6.762 6.762 6.762
angles (deg): 148.27 148.27 45.49
Positions (direct):
Fe  0.000  0.000  0.000
Pt  0.250  0.750  0.500
Br  0.500  0.500  0.000
Br  0.750  0.250  0.500

***

(4)
VASP calculation (PBE-GGA) on FePtBr2 after structural relaxation.

- Formation energy without anion corrections: 0.51 eV per atom
- Excess energy over the best structure of this formula in the dataset: 2.21 eV/f.u.
- Density of states at the Fermi level: 3.31 states/eV/f.u.
- E_tot: -15.81 eV/cell

a b c (Å): 5.467 5.467 5.467
angles (deg): 146.37 110.33 79.63
Positions (direct):
Fe  0.000  0.000  0.000
Pt  0.500  0.500  0.000
Br  0.228  0.728  0.500
Br  0.772  0.272  0.500

***

(5)
VASP calculation (PBE-GGA) on FePtBr2 after structural relaxation.

- Formation energy without anion corrections: 0.18 eV per atom
- Excess energy over the best structure of this formula in the dataset: 0.89 eV/f.u.
- Density of states at the Fermi level: 1.33 states/eV/f.u.
- E_tot: -17.13 eV/cell

a b c (Å): 3.420 3.420 7.722
angles (deg): 90.00 90.00 90.00
Positions (direct):
Fe  0.000  0.000  0.000
Pt  0.500  0.500  0.140
Br  0.000  0.000  0.346
Br  0.500  0.500  0.781

***

(6)
VASP calculation (PBE-GGA) on FePtBr6 after structural relaxation.

- Formation energy without anion corrections: -0.28 eV per atom
- Density of states at the Fermi level: 1.60 states/eV/f.u.
- E_tot: -26.76 eV/cell

a b c (Å): 6.946 6.946 6.391
angles (deg): 98.39 98.39 125.21
Positions (direct):
Fe  0.000  0.000  0.000
Pt  0.500  0.500  0.500
Br  0.118  0.398  0.258
Br  0.244  0.244  0.756
Br  0.398  0.118  0.258
Br  0.602  0.882  0.742
Br  0.756  0.756  0.244
Br  0.882  0.602  0.742